Pu8As5P3: optimized geometry, PBE.

Output
Magnetization, μB per formula unit: 39.845
Uncorrected energy, eV per atom: -10.695
E_form, eV per atom: -1.06

```
16
Lattice="-6.9959 0.3036 -4.2178 -2.1549 -6.2579 -4.7979 -6.2649 -4.8099 2.1233" Properties=species:S:1:pos:R:3 pbc="T T T"
Pu -6.9445 -5.0638 -0.6757
Pu -8.0363 -8.2345 -3.1067
Pu -10.4891 -4.9100 -2.8128
Pu -11.5304 -8.0456 -5.2193
Pu -8.4712 -5.7004 -6.2167
Pu -7.3794 -2.5297 -3.7857
Pu -4.9266 -5.8542 -4.0796
Pu -3.8853 -2.7186 -1.6730
As -3.4980 0.1518 -2.1089
As -4.5754 -2.9772 -4.5079
As 0.0000 0.0000 0.0000
As -1.0775 -3.1290 -2.3989
As -7.7079 -5.3821 -3.4462
P -6.6304 -2.2531 -1.0472
P -3.1324 -2.4049 1.0617
P -4.2099 -5.5339 -1.3373
```


PuAsP: optimized geometry, PBE.

Output
Magnetization, μB per formula unit: 5.623
Uncorrected energy, eV per atom: -8.553
E_form, eV per atom: -0.42
ΔE to the lowest computed polymorph, eV/atom: 0.306

```
3
Lattice="3.5078 0.0000 0.0000 0.0000 3.5078 0.0000 -1.7539 -1.7539 4.6963" Properties=species:S:1:pos:R:3 pbc="T T T"
P 1.7539 1.7539 1.7835
As 0.0000 0.0000 2.8881
Pu 0.0000 0.0000 0.0247
```


PuAsP: optimized geometry, PBE.

Output
Magnetization, μB per formula unit: 4.123
Uncorrected energy, eV per atom: -8.859
E_form, eV per atom: -0.73
ΔE to the lowest computed polymorph, eV/atom: 0.000

```
6
Lattice="3.9043 0.0000 0.0000 0.0000 3.9043 0.0000 -1.9522 -1.9522 7.8392" Properties=species:S:1:pos:R:3 pbc="T T T"
Pu 0.0000 0.0000 5.5317
Pu 1.9522 1.9522 2.3075
As 0.0000 1.9522 0.0000
As 1.9522 0.0000 0.0000
P 0.0000 0.0000 2.7977
P 1.9522 1.9522 5.0415
```


Pu3AsP2: optimized geometry, PBE.

Output
Magnetization, μB per formula unit: 5.083
Uncorrected energy, eV per atom: -10.445
E_form, eV per atom: -0.70
ΔE to the lowest computed polymorph, eV/atom: 0.397

```
12
Lattice="-1.3713 -1.1850 4.7703 7.1256 -1.6399 1.6411 4.6097 5.2865 2.6383" Properties=species:S:1:pos:R:3 pbc="T T T"
Pu 3.8347 3.7000 6.1156
Pu 2.7814 1.5936 5.2896
Pu 4.3146 -0.1474 2.5684
Pu 6.0494 2.6090 6.4813
Pu 7.5826 0.8681 3.7601
Pu 6.5294 -1.2384 2.9341
As 5.0876 2.7309 3.5056
As 5.2765 -0.2693 5.5441
P 2.2739 0.7066 0.8292
P 1.5882 0.1141 3.2144
P 9.4615 2.9400 3.4502
P 8.7758 2.3475 5.8354
```


Pu2AsP: optimized geometry, PBE.

Output
Magnetization, μB per formula unit: 10.000
Uncorrected energy, eV per atom: -10.585
E_form, eV per atom: -0.90

```
16
Lattice="-1.2008 1.7600 3.4765 -5.6359 -3.8697 0.0124 6.7800 -9.8512 7.3292" Properties=species:S:1:pos:R:3 pbc="T T T"
Pu 1.0255 -4.6578 6.2991
Pu -1.0822 -7.3030 4.5190
Pu 1.5535 -11.4543 9.9222
Pu -1.6102 -0.5066 0.8959
Pu 3.3535 -6.6867 8.1304
Pu -0.5475 -3.4043 2.7299
Pu 0.4908 -8.5565 8.0882
Pu -3.4102 -5.2741 2.6877
As -0.4043 -0.4521 3.6760
As 0.3476 -11.5087 7.1421
As -1.8073 -4.4428 5.2117
As 1.7506 -7.5180 5.6064
P -2.9934 -2.7898 1.5740
P 1.9240 -3.9054 3.8373
P 2.9367 -9.1711 9.2441
P -1.9807 -8.0554 6.9807
```


Pu5As4P: optimized geometry, PBE.

Output
Magnetization, μB per formula unit: 14.989
Uncorrected energy, eV per atom: -10.572
E_form, eV per atom: -1.01

```
10
Lattice="5.2375 0.0000 2.5262 2.6188 6.4987 1.2631 -0.2045 0.0000 7.1165" Properties=species:S:1:pos:R:3 pbc="T T T"
Pu 5.5894 2.5558 8.5030
Pu 3.5300 5.2305 6.0802
Pu 4.1326 1.2683 4.8308
Pu 2.0732 3.9429 2.4080
Pu 2.6241 0.0000 1.2657
As 2.9962 2.6004 7.1867
As 6.1681 5.1715 7.3031
As 1.4944 1.3273 3.6079
As 4.6663 3.8983 3.7243
P 0.0054 0.0000 0.0026
```


Pu4As3P: optimized geometry, PBE.

Output
Magnetization, μB per formula unit: 19.953
Uncorrected energy, eV per atom: -10.631
E_form, eV per atom: -1.05
ΔE to the lowest computed polymorph, eV/atom: 0.000

```
8
Lattice="-2.9821 2.6781 -0.8914 -2.2478 -4.2482 -5.2433 -3.3452 -1.7152 6.0382" Properties=species:S:1:pos:R:3 pbc="T T T"
Pu -1.3613 -1.4515 0.1935
Pu -4.0095 -2.2845 -2.9069
Pu -4.2317 -4.5119 0.6014
Pu -4.5656 -1.0008 2.8104
As -1.6726 -0.8576 3.0191
As -4.2875 -1.6426 -0.0482
As -1.1239 -2.1241 -2.6217
P -1.4910 1.3390 -0.4457
```


PuAsP2: optimized geometry, PBE.

Output
Magnetization, μB per formula unit: 4.999
Uncorrected energy, eV per atom: -7.731
E_form, eV per atom: -0.28
ΔE to the lowest computed polymorph, eV/atom: 0.148

```
4
Lattice="3.9177 0.0000 0.0000 1.9588 3.3928 0.0000 1.9588 1.1309 6.3124" Properties=species:S:1:pos:R:3 pbc="T T T"
P 5.8765 3.3928 4.7903
P 1.9588 1.1309 1.5221
As 0.0000 0.0000 0.0000
Pu 3.9177 2.2619 3.1562
```


Pu3As2PRh9: optimized geometry, PBE.

Output
Magnetization, μB per formula unit: 14.615
Uncorrected energy, eV per atom: -8.612
E_form, eV per atom: -0.35

```
15
Lattice="6.7522 0.0000 0.0000 -3.3761 5.8476 0.0000 0.0000 0.0000 7.2785" Properties=species:S:1:pos:R:3 pbc="T T T"
Pu 0.0000 3.8984 5.1011
Pu 0.0000 0.0000 0.0000
Pu 3.3761 1.9492 2.1774
As 0.0000 3.8984 1.5562
As 3.3761 1.9492 5.7222
P 0.0000 0.0000 3.6392
Rh 5.3295 0.8214 5.1678
Rh 3.3761 4.2048 5.1678
Rh 1.4227 0.8214 5.1678
Rh 1.9534 5.0262 2.1106
Rh 0.0000 1.6428 2.1106
Rh -1.9534 5.0262 2.1106
Rh 3.3761 0.0000 0.0000
Rh -1.6881 2.9238 0.0000
Rh 1.6881 2.9238 0.0000
```


Pu2AsPRh6: optimized geometry, PBE.

Output
Magnetization, μB per formula unit: 9.239
Uncorrected energy, eV per atom: -8.786
E_form, eV per atom: -0.50

```
20
Lattice="-5.1435 0.1012 -2.2029 -1.2850 -7.0537 2.6765 -3.0428 3.3077 7.2564" Properties=species:S:1:pos:R:3 pbc="T T T"
Pu -4.3119 -4.2263 2.7651
Pu -2.6705 0.6210 6.2638
Pu -5.7504 -2.6625 6.1958
Pu -1.0663 -1.1229 2.4381
As -2.4585 -3.4900 5.5800
As -2.9197 -1.8593 -0.3768
P -4.4041 -0.0024 3.1744
P -0.9741 -5.3468 2.0288
Rh -3.4795 0.0596 1.0185
Rh -5.0041 1.7169 4.6543
Rh -1.8986 -5.4089 4.1847
Rh -3.4168 -3.7585 7.8053
Rh -2.7810 1.6108 3.1196
Rh -5.4299 1.6629 1.9851
Rh -3.3714 -1.6170 4.3434
Rh -6.0156 -1.5650 3.2109
Rh -4.5061 -3.6831 -0.2106
Rh -2.0068 -3.7323 0.8598
Rh -2.5972 -6.9600 2.0836
Rh -5.0918 -6.9110 1.0151
```


Pu4AsP2S: optimized geometry, PBE.

Output
Magnetization, μB per formula unit: 0.098
Uncorrected energy, eV per atom: -10.850
Formation energy from raw total energies, kJ/mol of formula units: -953

```
8
Lattice="4.0184 0.0000 0.0000 0.0000 6.9711 -0.1304 0.0000 2.4605 6.5152" Properties=species:S:1:pos:R:3 pbc="T T T"
Pu 0.0001 7.1139 4.7467
Pu 4.0184 2.3177 1.6380
Pu 2.0092 5.8786 1.5469
Pu 2.0092 3.5530 4.8379
As 2.0092 5.9460 6.4499
P 0.0000 2.4605 6.5151
P 2.0092 1.2302 3.2576
S 0.0000 4.7158 3.1924
```


Pu4As2PS: optimized geometry, PBE.

Output
Magnetization, μB per formula unit: 0.111
Uncorrected energy, eV per atom: -10.720
Formation energy from raw total energies, kJ/mol of formula units: -926

```
8
Lattice="-3.1953 -1.4352 2.0404 0.1175 -5.8368 -3.9213 4.1069 -4.8072 3.0503" Properties=species:S:1:pos:R:3 pbc="T T T"
Pu 3.1872 -7.9504 -0.6008
Pu -2.1581 -4.1287 1.7701
Pu -0.4708 -6.2537 -1.1090
Pu 1.4999 -5.8254 2.2784
As 4.1069 -4.8072 3.0503
As 0.4558 -3.1212 2.5454
P -1.5389 -3.6360 -0.9405
S 2.1122 -5.3220 -0.4355
```


Pu6As3P2S: optimized geometry, PBE.

Output
Magnetization, μB per formula unit: 10.433
Uncorrected energy, eV per atom: -10.737
Formation energy from raw total energies, kJ/mol of formula units: -1347

```
12
Lattice="4.0642 0.0000 0.0000 0.0000 8.1045 0.2762 -2.0321 -2.3513 8.5347" Properties=species:S:1:pos:R:3 pbc="T T T"
Pu 0.0000 5.7954 5.9844
Pu 2.0321 3.8982 3.0498
Pu 2.0321 -0.0422 2.8265
Pu 0.0000 1.9710 0.1055
Pu 2.0321 3.7822 8.7054
Pu 0.0000 1.8550 5.7612
As 2.0321 4.0523 0.1381
As 2.0321 -0.2401 5.7356
As 0.0000 5.9933 3.0753
P 2.0321 3.8253 5.8764
P 0.0000 1.9279 2.9345
S 2.0321 0.0000 0.0000
```


Pu6As2P3S: optimized geometry, PBE.

Output
Magnetization, μB per formula unit: 10.391
Uncorrected energy, eV per atom: -10.822
Formation energy from raw total energies, kJ/mol of formula units: -1372

```
12
Lattice="4.0395 0.0000 0.0000 0.0000 8.0665 0.2789 -2.0198 -2.3305 8.4838" Properties=species:S:1:pos:R:3 pbc="T T T"
Pu 0.0000 5.8893 5.9284
Pu 2.0198 3.9967 2.9609
Pu 2.0198 -0.1533 2.8343
Pu 2.0198 -0.3086 8.4999
Pu 0.0000 6.0446 0.2628
Pu 0.0000 1.7393 5.8017
As 2.0198 3.8136 5.8518
As 0.0000 1.9224 2.9109
P 2.0198 4.0332 0.1394
P 2.0198 -0.2373 5.6819
P 0.0000 5.9733 3.0807
S 2.0198 0.0000 0.0000
```


Pu6As2PS3: optimized geometry, PBE.

Output
Magnetization, μB per formula unit: 32.395
Uncorrected energy, eV per atom: -10.847
Formation energy from raw total energies, kJ/mol of formula units: -1649

```
12
Lattice="-3.6530 1.7037 0.4482 -0.0979 -2.2473 7.7447 5.5738 7.0939 0.1141" Properties=species:S:1:pos:R:3 pbc="T T T"
Pu 2.4156 3.2382 7.3787
Pu -0.6530 2.1386 4.8977
Pu -0.5927 3.3121 0.9283
Pu 1.8790 8.2059 2.4712
Pu -0.0561 -1.6555 5.8358
Pu 2.4759 4.4118 3.4093
As 0.6076 4.6537 5.6112
As 1.2154 1.8967 2.6958
P -1.8265 0.8519 0.2241
S -1.8755 -0.2718 4.0965
S 0.6476 5.7597 1.7327
S 1.1754 0.7907 6.5743
```


Pu4SbAs2P: optimized geometry, PBE.

Output
Magnetization, μB per formula unit: 19.984
Uncorrected energy, eV per atom: -10.420
Formation energy from raw total energies, kJ/mol of formula units: -694

```
8
Lattice="-3.7415 0.0127 1.8497 0.5442 -7.1190 1.1496 3.1735 -1.1680 6.4273" Properties=species:S:1:pos:R:3 pbc="T T T"
Pu 2.7395 -6.2634 5.5844
Pu -2.7633 -2.0109 3.8422
Pu -0.6272 -5.6367 3.4791
Pu 0.6034 -2.6377 5.9475
Sb -1.5987 -3.5532 1.4997
As 3.1735 -1.1680 6.4273
As -0.2840 -0.5777 4.1385
P 1.8588 -4.1435 3.7885
```


Pu6AsP2Se3: optimized geometry, PBE.

Output
Magnetization, μB per formula unit: 32.567
Uncorrected energy, eV per atom: -10.675
Formation energy from raw total energies, kJ/mol of formula units: -1562

```
12
Lattice="4.1066 0.0000 0.0000 0.0000 8.2367 0.2782 -2.0533 -2.3861 8.6496" Properties=species:S:1:pos:R:3 pbc="T T T"
Pu 0.0000 5.8645 6.0230
Pu 2.0533 3.9206 3.1062
Pu 2.0533 -0.0139 2.9047
Pu 0.0000 2.0353 0.1444
Pu 2.0533 3.8154 8.7834
Pu 0.0000 1.9300 5.8215
As 2.0533 0.0000 0.0000
P 2.0533 3.8960 5.9444
P 0.0000 1.9546 2.9833
Se 2.0533 4.1184 0.1391
Se 2.0533 -0.2222 5.8341
Se 0.0000 6.0729 3.0937
```


Pu4AsP2Se: optimized geometry, PBE.

Output
Magnetization, μB per formula unit: 20.850
Uncorrected energy, eV per atom: -10.770
Formation energy from raw total energies, kJ/mol of formula units: -953

```
8
Lattice="4.0746 0.0000 0.0000 0.0000 7.0876 -0.1522 0.0000 2.4824 6.6039" Properties=species:S:1:pos:R:3 pbc="T T T"
Pu 0.0001 7.2569 4.7947
Pu 4.0746 2.3131 1.6570
Pu 2.0373 6.0128 1.5208
Pu 2.0373 3.5572 4.9310
As 0.0000 4.7850 3.2259
P 0.0000 2.4824 6.6039
P 2.0373 1.2412 3.3020
Se 2.0373 3.5438 -0.0761
```


TbPuAsP: optimized geometry, PBE.

Output
Magnetization, μB per formula unit: 4.940
Uncorrected energy, eV per atom: -8.568
E_form, eV per atom: -1.31

```
4
Lattice="4.0671 0.0000 0.0000 0.0000 4.0598 0.2421 0.0000 -0.3431 5.7530" Properties=species:S:1:pos:R:3 pbc="T T T"
Tb 0.0000 3.4166 3.6236
Pu 2.0335 1.5574 0.6270
As 2.0335 1.3866 3.5038
P 0.0000 3.5873 0.7471
```


Pu6Te3As2P: optimized geometry, PBE.

Output
Magnetization, μB per formula unit: 10.958
Uncorrected energy, eV per atom: -10.051
Formation energy from raw total energies, kJ/mol of formula units: -1012

```
12
Lattice="4.1406 0.0000 0.0000 0.0000 11.2258 -3.4239 -2.0703 -4.9733 8.6982" Properties=species:S:1:pos:R:3 pbc="T T T"
Pu 0.0000 3.3294 4.6305
Pu 2.0703 -0.6811 5.1790
Pu 2.0703 2.9231 0.6438
Pu 0.0000 0.1145 1.9100
Pu 2.0703 6.1381 3.3644
Pu 0.0000 6.9336 0.0953
Te 2.0703 5.6129 -1.7119
Te 0.0000 -2.7908 6.1785
Te 2.0703 9.0433 -0.9042
As 0.0000 4.5719 1.8803
As 2.0703 1.6806 3.3940
P 2.0703 0.0000 0.0000
```


Pu8Te4AsP3: optimized geometry, PBE.

Output
Magnetization, μB per formula unit: 43.719
Uncorrected energy, eV per atom: -10.384
Formation energy from raw total energies, kJ/mol of formula units: -1741

```
16
Lattice="8.4284 0.0000 0.0000 0.0000 8.5570 0.0843 -4.2142 -4.2096 5.9630" Properties=species:S:1:pos:R:3 pbc="T T T"
Pu -2.0719 2.0343 5.8786
Pu 0.0000 4.1039 2.9469
Pu 0.0000 0.2393 3.1472
Pu 2.0719 2.0343 5.8786
Pu 2.1423 2.3131 0.1687
Pu 4.2142 4.1081 2.9001
Pu 4.2142 0.2435 3.1004
Pu 6.2861 2.3131 0.1687
Te 4.2142 0.0000 0.0000
Te 2.1071 -2.1048 2.9815
Te 0.0000 0.0000 0.0000
Te -2.1071 -2.1048 2.9815
As 0.0000 4.2785 0.0421
P 4.2142 4.2785 0.0421
P 2.1071 2.1737 3.0237
P -2.1071 2.1737 3.0237
```


Pu4Te2AsP: optimized geometry, PBE.

Output
Magnetization, μB per formula unit: 21.869
Uncorrected energy, eV per atom: -10.321
Formation energy from raw total energies, kJ/mol of formula units: -858

```
8
Lattice="-3.1453 -2.4446 -1.4438 4.4573 -5.9746 0.4059 -0.6729 -3.0564 6.6411" Properties=species:S:1:pos:R:3 pbc="T T T"
Pu 2.7070 -6.6127 5.2993
Pu -2.0679 -4.8630 0.3040
Pu 1.4466 -6.3237 1.3382
Pu -0.8075 -5.1520 4.2650
Te -0.6729 -3.0564 6.6411
Te -1.9091 -2.7505 2.5987
As 0.6560 -4.2096 -0.5189
P 1.8921 -4.5155 3.5235
```